Entry 1:
VASP calculation (PBE) on a geometry-optimized PrAlCo4 structure.

Cell: 4.987 4.987 4.987 Å, 60.00 60.00 60.00°
Fractional coordinates of all 6 atoms:
Pr 0.000 0.000 0.000
Al 0.750 0.750 0.750
Co 0.377 0.377 0.377
Co 0.377 0.377 0.870
Co 0.377 0.870 0.377
Co 0.870 0.377 0.377

Values from the calculation:
Space group: F-43m (216)
Energy of formation from the pure elements (kcal/mol of atoms): -1.6
Calculated volume (Å³/atom): 14.62

=====

Entry 2:
VASP calculation (PBE) on a geometry-optimized MgTlSN2 structure.

Cell: 4.217 4.217 5.253 Å, 90.00 90.00 90.00°
Fractional coordinates of all 5 atoms:
Mg 0.000 0.000 0.000
Tl 0.500 0.500 0.500
S 0.000 0.000 0.500
N 0.000 0.500 0.000
N 0.500 0.000 0.000

Values from the calculation:
Space group: P4/mmm (123)
ΔE_f (raw) (eV per atom): 1.04
Calculated volume (Å³/atom): 18.68

=====

Entry 3:
VASP calculation (PBE) on a geometry-optimized Li2Ag2Ge structure.

Cell: 7.236 7.236 3.113 Å, 90.00 90.00 90.00°
Fractional coordinates of all 10 atoms:
Li 0.142 0.358 0.000
Li 0.358 0.858 0.000
Li 0.642 0.142 0.000
Li 0.858 0.642 0.000
Ag 0.153 0.653 0.500
Ag 0.347 0.153 0.500
Ag 0.653 0.847 0.500
Ag 0.847 0.347 0.500
Ge 0.000 0.000 0.000
Ge 0.500 0.500 0.000

Values from the calculation:
Space group: P4/mbm (127)
Energy of formation from the pure elements (kcal/mol of atoms): -1.5
Calculated volume (Å³/atom): 16.30

=====

Entry 4:
VASP calculation (PBE) on a geometry-optimized SiHgRuW2 structure.

Cell: 4.709 4.709 5.090 Å, 90.00 90.00 90.00°
Fractional coordinates of all 5 atoms:
Si 0.000 0.000 0.000
Hg 0.500 0.500 0.000
Ru 0.500 0.500 0.500
W 0.000 0.500 0.500
W 0.500 0.000 0.500

Values from the calculation:
Space group: P4/mmm (123)
ΔE_f (raw) (eV per atom): 1.87
Calculated volume (Å³/atom): 22.58

=====

Entry 5:
VASP calculation (PBE) on a geometry-optimized CsCd2Te2O6 structure.

Cell: 8.096 8.096 6.344 Å, 111.99 111.99 42.59°
Fractional coordinates of all 11 atoms:
Cs 0.000 0.000 0.000
Cd 0.294 0.294 0.658
Cd 0.706 0.706 0.342
Te 0.287 0.287 0.149
Te 0.713 0.713 0.851
O 0.097 0.551 0.396
O 0.390 0.390 0.043
O 0.449 0.903 0.604
O 0.551 0.097 0.396
O 0.610 0.610 0.957
O 0.903 0.449 0.604

Values from the calculation:
Space group: C2/m (12)
ΔE_f (raw) (eV per atom): -0.97
Calculated volume (Å³/atom): 23.43

=====

Entry 6:
VASP calculation (PBE) on a geometry-optimized FeNiAu2 structure.

Cell: 4.606 4.606 4.606 Å, 127.47 127.47 77.48°
Fractional coordinates of all 4 atoms:
Fe 0.000 0.000 0.000
Ni 0.500 0.500 0.000
Au 0.250 0.750 0.500
Au 0.750 0.250 0.500

Values from the calculation:
Space group: I4/mmm (139)
Energy of formation from the pure elements (kcal/mol of atoms): 3.0
Calculated volume (Å³/atom): 14.92